Entry 1:
First-principles (PBE) data for PmEr4Cd4 after structural relaxation, as listed in Alexandria.

a = 5.446 Å, b = 9.573 Å, c = 9.573 Å
α = 90.00°, β = 90.00°, γ = 90.00°
Element x y z (fractional)
Cd (0.996, 0.602, 0.300)
Pm (0.000, 0.000, 0.000)
Er (0.004, 0.926, 0.351)
Cd (0.496, 0.200, 0.102)
Er (0.496, 0.426, 0.851)
Er (0.504, 0.149, 0.426)
Er (0.504, 0.851, 0.574)
Cd (0.004, 0.700, 0.602)
Cd (0.504, 0.898, 0.200)
Er (0.496, 0.574, 0.149)
Cd (0.496, 0.800, 0.898)
Cd (0.004, 0.300, 0.398)
Er (0.996, 0.649, 0.926)
Pm (0.500, 0.500, 0.500)
Er (0.004, 0.074, 0.649)
Cd (0.996, 0.398, 0.700)
Cd (0.504, 0.102, 0.800)
Er (0.996, 0.351, 0.074)

Computed properties:
**E_form**: -108 meV per atom

=====

Entry 2:
First-principles (PBE) data for PmEr2Cd3 after structural relaxation, as listed in Alexandria.

a = 3.742 Å, b = 3.742 Å, c = 11.331 Å
α = 90.00°, β = 90.00°, γ = 90.00°
Element x y z (fractional)
Er (0.500, 0.500, 0.163)
Pm (0.500, 0.500, 0.500)
Cd (0.000, 0.000, 0.322)
Cd (0.000, 0.000, 0.000)
Cd (0.000, 0.000, 0.678)
Er (0.500, 0.500, 0.837)

Computed properties:
**E_form**: -314 meV per atom

=====

Entry 3:
First-principles (PBE) data for Pm5ErCd4 after structural relaxation, as listed in Alexandria.

a = 3.778 Å, b = 3.778 Å, c = 20.408 Å
α = 90.00°, β = 90.00°, γ = 90.00°
Element x y z (fractional)
Er (0.000, 0.000, 0.000)
Pm (0.500, 0.500, 0.691)
Cd (0.000, 0.000, 0.212)
Pm (0.500, 0.500, 0.309)
Pm (0.500, 0.500, 0.117)
Cd (0.000, 0.000, 0.788)
Cd (0.000, 0.000, 0.404)
Pm (0.500, 0.500, 0.883)
Pm (0.500, 0.500, 0.500)
Cd (0.000, 0.000, 0.596)

Computed properties:
**E_form**: -241 meV per atom

=====

Entry 4:
First-principles (PBE) data for Pm2ErCd after structural relaxation, as listed in Alexandria.

a = 3.677 Å, b = 3.677 Å, c = 9.004 Å
α = 90.00°, β = 90.00°, γ = 90.00°
Element x y z (fractional)
Er (0.500, 0.500, 0.500)
Cd (0.500, 0.500, 0.000)
Pm (0.000, 0.000, 0.229)
Pm (0.000, 0.000, 0.771)

Computed properties:
**E_form**: -135 meV per atom

=====

Entry 5:
First-principles (PBE) data for Pm6ErCd after structural relaxation, as listed in Alexandria.

a = 6.701 Å, b = 6.701 Å, c = 9.418 Å
α = 110.92°, β = 110.92°, γ = 119.87°
Element x y z (fractional)
Pm (0.169, 0.169, 0.746)
Pm (0.831, 0.831, 0.254)
Er (0.000, 0.000, 0.000)
Cd (0.500, 0.500, 0.500)
Pm (0.321, 0.744, 0.746)
Pm (0.744, 0.321, 0.746)
Pm (0.256, 0.679, 0.254)
Pm (0.679, 0.256, 0.254)

Computed properties:
**E_form**: 66 meV per atom

=====

Entry 6:
First-principles (PBE) data for Pm6Er2Cd after structural relaxation, as listed in Alexandria.

a = 6.315 Å, b = 11.375 Å, c = 11.375 Å
α = 47.79°, β = 106.15°, γ = 106.15°
Element x y z (fractional)
Er (0.072, 0.672, 0.828)
Pm (0.289, 0.495, 0.347)
Cd (0.250, 0.249, 0.751)
Pm (0.211, 0.653, 0.505)
Pm (0.081, 0.081, 0.581)
Er (0.428, 0.172, 0.328)
Er (0.928, 0.328, 0.172)
Pm (0.556, 0.995, 0.847)
Pm (0.444, 0.005, 0.153)
Cd (0.750, 0.751, 0.249)
Pm (0.789, 0.347, 0.495)
Pm (0.711, 0.505, 0.653)
Pm (0.419, 0.419, 0.919)
Pm (0.919, 0.919, 0.419)
Pm (0.581, 0.581, 0.081)
Pm (0.944, 0.153, 0.005)
Pm (0.056, 0.847, 0.995)
Er (0.572, 0.828, 0.672)

Computed properties:
**E_form**: 18 meV per atom

=====

Entry 7:
First-principles (PBE) data for Pm2ErCd after structural relaxation, as listed in Alexandria.

a = 3.629 Å, b = 3.629 Å, c = 11.150 Å
α = 80.63°, β = 80.63°, γ = 60.00°
Element x y z (fractional)
Pm (0.254, 0.254, 0.238)
Pm (0.079, 0.079, 0.762)
Cd (0.667, 0.667, 0.000)
Er (0.500, 0.500, 0.500)

Computed properties:
**E_form**: -51 meV per atom

=====

Entry 8:
First-principles (PBE) data for Pm5ErCd3 after structural relaxation, as listed in Alexandria.

a = 7.008 Å, b = 9.384 Å, c = 9.384 Å
α = 120.00°, β = 90.00°, γ = 90.00°
Element x y z (fractional)
Cd (0.750, 0.000, 0.671)
Pm (0.250, 0.666, 0.000)
Cd (0.250, 0.671, 0.671)
Pm (0.250, 0.334, 0.334)
Er (0.000, 0.000, 0.000)
Pm (0.750, 0.000, 0.334)
Pm (0.500, 0.333, 0.667)
Pm (0.000, 0.667, 0.333)
Er (0.500, 0.000, 0.000)
Pm (0.000, 0.333, 0.667)
Pm (0.750, 0.666, 0.666)
Cd (0.750, 0.671, 0.000)
Cd (0.250, 0.000, 0.329)
Pm (0.250, 0.000, 0.666)
Pm (0.500, 0.667, 0.333)
Pm (0.750, 0.334, 0.000)
Cd (0.750, 0.329, 0.329)
Cd (0.250, 0.329, 0.000)

Computed properties:
**E_form**: -180 meV per atom

=====

Entry 9:
First-principles (PBE) data for Pm4Er5Cd2 after structural relaxation, as listed in Alexandria.

a = 3.487 Å, b = 8.600 Å, c = 11.288 Å
α = 93.81°, β = 90.00°, γ = 90.00°
Element x y z (fractional)
Er (0.000, 0.427, 0.707)
Er (0.000, 0.204, 0.169)
Pm (0.500, 0.145, 0.883)
Cd (0.000, 0.947, 0.369)
Pm (0.500, 0.718, 0.548)
Pm (0.500, 0.855, 0.117)
Er (0.000, 0.500, 0.000)
Pm (0.500, 0.282, 0.452)
Cd (0.000, 0.053, 0.631)
Er (0.000, 0.573, 0.293)
Er (0.000, 0.796, 0.831)

Computed properties:
**E_form**: 12 meV per atom

=====

Entry 10:
First-principles (PBE) data for Pm2ErCd4 after structural relaxation, as listed in Alexandria.

a = 5.335 Å, b = 5.335 Å, c = 8.036 Å
α = 109.39°, β = 109.39°, γ = 90.00°
Element x y z (fractional)
Er (0.000, 0.000, 0.000)
Cd (0.110, 0.610, 0.220)
Cd (0.390, 0.890, 0.780)
Pm (0.741, 0.741, 0.483)
Cd (0.890, 0.390, 0.780)
Cd (0.610, 0.110, 0.220)
Pm (0.259, 0.259, 0.517)

Computed properties:
**E_form**: -165 meV per atom

=====

Entry 11:
First-principles (PBE) data for PmEr2Cd3 after structural relaxation, as listed in Alexandria.

a = 5.266 Å, b = 8.345 Å, c = 7.612 Å
α = 90.00°, β = 90.00°, γ = 71.61°
Element x y z (fractional)
Cd (0.164, 0.672, 0.260)
Er (0.669, 0.662, 0.500)
Er (0.000, 0.000, 0.000)
Pm (0.665, 0.669, 0.000)
Er (0.331, 0.338, 0.500)
Cd (0.836, 0.328, 0.260)
Cd (0.836, 0.328, 0.740)
Pm (0.335, 0.331, 0.000)
Cd (0.500, 0.000, 0.261)
Er (0.000, 0.000, 0.500)
Cd (0.164, 0.672, 0.740)
Cd (0.500, 0.000, 0.739)

Computed properties:
**E_form**: -312 meV per atom

=====

Entry 12:
First-principles (PBE) data for PmErCd3 after structural relaxation, as listed in Alexandria.

a = 3.499 Å, b = 4.994 Å, c = 14.901 Å
α = 90.00°, β = 96.74°, γ = 90.00°
Element x y z (fractional)
Cd (0.623, 0.750, 0.246)
Cd (0.322, 0.750, 0.645)
Pm (0.925, 0.750, 0.850)
Cd (0.476, 0.250, 0.952)
Er (0.215, 0.750, 0.430)
Cd (0.377, 0.250, 0.754)
Er (0.785, 0.250, 0.570)
Cd (0.678, 0.250, 0.355)
Pm (0.075, 0.250, 0.150)
Cd (0.524, 0.750, 0.048)

Computed properties:
**E_form**: -303 meV per atom

=====

Entry 13:
First-principles (PBE) data for PmEr4Cd2 after structural relaxation, as listed in Alexandria.

a = 5.048 Å, b = 5.048 Å, c = 10.723 Å
α = 76.38°, β = 76.38°, γ = 60.00°
Element x y z (fractional)
Er (0.702, 0.702, 0.894)
Pm (0.500, 0.500, 0.500)
Er (0.105, 0.105, 0.686)
Cd (0.399, 0.399, 0.803)
Cd (0.601, 0.601, 0.197)
Er (0.895, 0.895, 0.314)
Er (0.298, 0.298, 0.106)

Computed properties:
**E_form**: 215 meV per atom

=====

Entry 14:
First-principles (PBE) data for Pm4ErCd after structural relaxation, as listed in Alexandria.

a = 6.384 Å, b = 9.045 Å, c = 8.463 Å
α = 113.08°, β = 100.11°, γ = 112.17°
Element x y z (fractional)
Er (0.662, 0.412, 0.823)
Pm (0.243, 0.289, 0.383)
Pm (0.757, 0.711, 0.617)
Pm (0.781, 0.405, 0.237)
Pm (0.956, 0.832, 0.237)
Pm (0.044, 0.168, 0.763)
Cd (0.749, 0.999, 0.998)
Er (0.338, 0.588, 0.177)
Pm (0.219, 0.595, 0.763)
Cd (0.251, 0.001, 0.002)
Pm (0.639, 0.093, 0.383)
Pm (0.361, 0.907, 0.617)

Computed properties:
**E_form**: 4 meV per atom

=====

Entry 15:
First-principles (PBE) data for Pm4ErCd2 after structural relaxation, as listed in Alexandria.

a = 8.921 Å, b = 8.921 Å, c = 8.921 Å
α = 137.02°, β = 103.83°, γ = 91.68°
Element x y z (fractional)
Pm (0.968, 0.727, 0.241)
Pm (0.375, 0.112, 0.738)
Er (0.154, 0.154, 0.000)
Pm (0.282, 0.023, 0.259)
Pm (0.875, 0.113, 0.238)
Er (0.096, 0.596, 0.500)
Cd (0.625, 0.375, 0.250)
Pm (0.765, 0.023, 0.741)
Pm (0.875, 0.638, 0.762)
Pm (0.375, 0.637, 0.262)
Cd (0.625, 0.875, 0.250)
Pm (0.485, 0.727, 0.759)
Cd (0.625, 0.375, 0.750)
Cd (0.125, 0.375, 0.750)

Computed properties:
**E_form**: 72 meV per atom

=====

Entry 16:
First-principles (PBE) data for Pm2Er2Cd after structural relaxation, as listed in Alexandria.

a = 3.593 Å, b = 3.593 Å, c = 11.962 Å
α = 98.64°, β = 98.64°, γ = 90.00°
Element x y z (fractional)
Er (0.414, 0.414, 0.828)
Cd (0.000, 0.000, 0.000)
Er (0.586, 0.586, 0.172)
Pm (0.806, 0.806, 0.613)
Pm (0.194, 0.194, 0.387)

Computed properties:
**E_form**: -112 meV per atom

=====

Entry 17:
First-principles (PBE) data for Pm3ErCd6 after structural relaxation, as listed in Alexandria.

a = 5.192 Å, b = 9.358 Å, c = 11.149 Å
α = 104.94°, β = 90.00°, γ = 90.00°
Element x y z (fractional)
Cd (0.250, 0.451, 0.089)
Pm (0.750, 0.472, 0.608)
Cd (0.750, 0.330, 0.294)
Cd (0.750, 0.549, 0.911)
Pm (0.250, 0.528, 0.392)
Er (0.750, 0.053, 0.399)
Cd (0.750, 0.952, 0.110)
Cd (0.250, 0.670, 0.706)
Cd (0.250, 0.231, 0.483)
Pm (0.250, 0.762, 0.002)
Cd (0.750, 0.852, 0.814)
Cd (0.750, 0.134, 0.694)
Pm (0.750, 0.238, 0.998)
Pm (0.250, 0.347, 0.781)
Pm (0.750, 0.653, 0.219)
Er (0.250, 0.947, 0.601)
Cd (0.250, 0.048, 0.890)
Cd (0.250, 0.148, 0.186)
Cd (0.250, 0.866, 0.306)
Cd (0.750, 0.769, 0.517)

Computed properties:
**E_form**: -292 meV per atom

=====

Entry 18:
First-principles (PBE) data for Pm2ErCd4 after structural relaxation, as listed in Alexandria.

a = 5.588 Å, b = 5.588 Å, c = 8.853 Å
α = 108.40°, β = 108.40°, γ = 90.00°
Element x y z (fractional)
Cd (0.500, 0.000, 0.000)
Pm (0.393, 0.393, 0.786)
Cd (0.000, 0.500, 0.000)
Cd (0.190, 0.190, 0.380)
Er (0.000, 0.000, 0.000)
Pm (0.607, 0.607, 0.214)
Cd (0.810, 0.810, 0.620)

Computed properties:
**E_form**: 232 meV per atom

=====

Entry 19:
First-principles (PBE) data for Pm9Er4Cd11 after structural relaxation, as listed in Alexandria.

a = 3.555 Å, b = 14.171 Å, c = 14.171 Å
α = 111.19°, β = 90.00°, γ = 90.00°
Element x y z (fractional)
Pm (0.500, 0.371, 0.852)
Cd (0.000, 0.742, 0.742)
Cd (0.000, 0.834, 0.166)
Pm (0.500, 0.148, 0.629)
Pm (0.500, 0.629, 0.148)
Cd (0.000, 0.416, 0.057)
Cd (0.000, 0.943, 0.584)
Pm (0.500, 0.791, 0.960)
Cd (0.000, 0.057, 0.416)
Pm (0.500, 0.960, 0.791)
Er (0.500, 0.560, 0.748)
Cd (0.000, 0.584, 0.943)
Cd (0.000, 0.166, 0.834)
Pm (0.500, 0.852, 0.371)
Pm (0.500, 0.209, 0.040)
Cd (0.000, 0.635, 0.365)
Cd (0.000, 0.365, 0.635)
Er (0.500, 0.252, 0.440)
Pm (0.500, 0.040, 0.209)
Cd (0.000, 0.258, 0.258)
Er (0.500, 0.748, 0.560)
Pm (0.500, 0.500, 0.500)
Cd (0.000, 0.000, 0.000)
Er (0.500, 0.440, 0.252)

Computed properties:
**E_form**: -239 meV per atom

=====

Entry 20:
First-principles (PBE) data for Pm3Er2Cd2 after structural relaxation, as listed in Alexandria.

a = 5.131 Å, b = 3.496 Å, c = 11.784 Å
α = 90.00°, β = 77.43°, γ = 90.00°
Element x y z (fractional)
Er (0.711, 0.500, 0.579)
Cd (0.569, 0.500, 0.861)
Cd (0.431, 0.500, 0.139)
Pm (0.147, 0.000, 0.706)
Pm (0.000, 0.000, 0.000)
Pm (0.853, 0.000, 0.294)
Er (0.289, 0.500, 0.421)

Computed properties:
**E_form**: -60 meV per atom

=====

Entry 21:
First-principles (PBE) data for Pm4Er3Cd4 after structural relaxation, as listed in Alexandria.

a = 3.545 Å, b = 9.287 Å, c = 10.995 Å
α = 114.98°, β = 99.28°, γ = 90.00°
Element x y z (fractional)
Er (0.097, 0.097, 0.193)
Pm (0.343, 0.166, 0.686)
Pm (0.657, 0.480, 0.314)
Pm (0.343, 0.520, 0.686)
Er (0.903, 0.903, 0.807)
Pm (0.657, 0.834, 0.314)
Cd (0.500, 0.792, 0.000)
Cd (0.500, 0.208, 0.000)
Cd (0.728, 0.228, 0.456)
Cd (0.272, 0.772, 0.544)
Er (0.000, 0.500, 0.000)

Computed properties:
**E_form**: -122 meV per atom

=====

The records above yield size of the total moment values of 0.0, 0.5, 1.0, 0.0, 0.0, 0.0, 0.0, 0.0, 0.0, 0.4, 1.0, 0.0, 0.4, 0.0, 0.0, 0.0, 0.8, 0.0, 0.8, 0.5, 0.0 μB/cell, respectively.